1.
Computed, not measured: a geometry-optimized Lu5Zr structure at the PBE level of DFT.

Summary:
Its mass density is 9.53 Mg/m³. Its density of states at the Fermi level is 8.002 states/eV/f.u. The electronic total energy comes out at -5.14 eV per atom. The value obtained for the magnetic moment is 0.030 μB per formula unit.

Cell: 4.822 14.452 4.832 Å, 90.00 90.00 90.00°
Space group Cmmm (No. 65)
Asymmetric unit:
Lu: 0.000 0.000 0.000 (multiplicity 2)
Lu: 0.000 0.160 0.500 (multiplicity 4)
Lu: 0.000 0.339 0.000 (multiplicity 4)
Zr: 0.000 0.500 0.500 (multiplicity 2)

2.
Computed, not measured: a geometry-optimized Sm2ErAu3 structure at the PBE level of DFT.

Summary:
Its mass density is 12.18 Mg/m³. Its density of states at the Fermi level is 2.436 states/eV/f.u. The electronic total energy comes out at -4.80 eV per atom. The value obtained for the magnetic moment is 0.000 μB per formula unit.

Cell: 3.614 3.614 11.048 Å, 90.00 90.00 90.00°
Space group P4/mmm (No. 123)
Asymmetric unit:
Sm: 0.000 0.000 0.170 (multiplicity 2)
Er: 0.000 0.000 0.500 (multiplicity 1)
Au: 0.500 0.500 0.000 (multiplicity 1)
Au: 0.500 0.500 0.345 (multiplicity 2)

3.
Computed, not measured: a geometry-optimized PuFeTcGe structure at the PBE level of DFT.

Summary:
Its mass density is 10.69 Mg/m³. Its density of states at the Fermi level is 11.533 states/eV/f.u. The electronic total energy comes out at -9.54 eV per atom. The value obtained for the magnetic moment is 3.620 μB per formula unit.

Cell: 4.1556 4.1556 14.6563 Å, 90.00 90.00 120.00°
Space group R3m (No. 160, hexagonal axes)
Asymmetric unit:
Pu: 0.0000 0.0000 0.0000 (multiplicity 3)
Fe: 0.0000 0.0000 0.2016 (multiplicity 3)
Tc: 0.0000 0.0000 0.5188 (multiplicity 3)
Ge: 0.0000 0.0000 0.7882 (multiplicity 3)

4.
Computed, not measured: a geometry-optimized K3YCr structure at the PBE level of DFT.

Summary:
Its mass density is 1.18 Mg/m³. Its density of states at the Fermi level is 61.675 states/eV/f.u. The electronic total energy comes out at -2.44 eV per atom. The value obtained for the magnetic moment is 2.000 μB per formula unit.

Cell: 7.128 7.128 7.128 Å, 90.00 90.00 90.00°
Space group Pm-3m (No. 221)
Asymmetric unit:
K: 0.000 0.000 0.500 (multiplicity 3)
Y: 0.000 0.000 0.000 (multiplicity 1)
Cr: 0.500 0.500 0.500 (multiplicity 1)

Question: The highest magnetic moment belongs to which entry?
Answer: PuFeTcGe

Question: What is the formula in the second record?
Answer: Sm2ErAu3

Question: magnetic moment of number 3 (PuFeTcGe)?
Answer: 3.620 μB per formula unit